--- w ---
# BeHgW2, optimized geometry, DFT GGA-PBEsol
# Total magnetic moment = 0.0 μB per cell
data_BeHgW2
_chemical_formula_sum 'Be1 Hg1 W2'
_space_group_name_H-M_alt 'P 4/m m m'
_space_group_IT_number 123
_space_group_name_Hall '-P 4 2'
_cell_length_a 3.0020
_cell_length_b 3.0020
_cell_length_c 6.6201
_cell_angle_alpha 90.00
_cell_angle_beta 90.00
_cell_angle_gamma 90.00
loop_
_atom_site_label
_atom_site_fract_x
_atom_site_fract_y
_atom_site_fract_z
Be1 0.0000 0.0000 0.0000
Hg1 0.0000 0.0000 0.5000
W1 0.5000 0.5000 0.1877

=====

--- x ---
# BeHgW2, optimized geometry, DFT GGA-PBEsol
# Total magnetic moment = 0.0 μB per cell
data_BeHgW2
_chemical_formula_sum 'Be1 Hg1 W2'
_space_group_name_H-M_alt 'P 4 m m'
_space_group_IT_number 99
_space_group_name_Hall 'P 4 -2'
_cell_length_a 2.7229
_cell_length_b 2.7229
_cell_length_c 8.1415
_cell_angle_alpha 90.00
_cell_angle_beta 90.00
_cell_angle_gamma 90.00
loop_
_atom_site_label
_atom_site_fract_x
_atom_site_fract_y
_atom_site_fract_z
Be1 0.0000 0.0000 0.0000
Hg1 0.5000 0.5000 0.2325
W1 0.0000 0.0000 0.5193
W2 0.5000 0.5000 0.7921

=====

Which of the structures shown above is the most stable? The most stable is x.